# YCuPt4

An optimized crystal structure of YCuPt4 (PBEsol, the Alexandria database).

extended XYZ file:
```
6
Lattice="0.000 3.705 3.705 3.705 0.000 3.705 3.705 3.705 0.000" Properties=species:S:1:pos:R:3 pbc="T T T"
Y 0.000 0.000 0.000
Cu 1.853 1.853 1.853
Pt 4.627 2.784 2.784
Pt 2.784 4.627 2.784
Pt 2.784 2.784 4.627
Pt 4.627 4.627 4.627
```

The calculation puts the raw total energy at -7.11 eV per atom. The spin magnetization is 0.00 μB per cell. As for the mass density: 15.224 g cm⁻³. The value obtained for the formation energy is -3.66 eV/f.u.